Record 1
A plane-wave DFT calculation with PBE was carried out for a geometry-optimized Sr2NbIrO6 structure.

The formation energy without anion corrections is -2.29 eV/atom. The space-group type is Fm-3m (225). The calculation puts the total magnetization at 0.0 μB per cell.

Structure (POSCAR):
```
Sr2NbIrO6
1.0
5.707 0.000 0.000
0.000 5.708 0.000
0.000 0.000 8.072
Sr Nb Ir O
4 2 2 12
direct
0.500 0.750 0.250
0.000 0.250 0.750
0.500 0.750 0.750
0.000 0.250 0.250
0.500 0.250 0.500
0.000 0.750 0.000
0.000 0.750 0.500
0.500 0.250 0.000
0.500 0.250 0.252
0.500 0.250 0.748
0.000 0.750 0.248
0.000 0.750 0.752
0.252 0.002 0.500
0.748 0.002 0.500
0.252 0.498 0.500
0.748 0.498 0.500
0.752 0.502 0.000
0.248 0.502 0.000
0.248 0.998 0.000
0.752 0.998 0.000
```



Record 2
A plane-wave DFT calculation with PBE was carried out for a geometry-optimized TiGe2F structure.

The formation energy without anion corrections is -0.42 eV/atom. Its polymorph energy (0 for the lowest one) is 0 meV/atom. The value obtained for the density of states at the Fermi level is 1.16 states/eV per atom. The space-group type is I-42d (122). The calculation puts the total magnetization at 0.0 μB per cell.

Structure (POSCAR):
```
TiGe2F
1.0
8.370 0.000 0.000
0.000 8.370 0.000
4.185 4.185 2.038
Ge F Ti
4 2 2
direct
0.537 0.125 0.250
0.213 0.625 0.250
0.375 0.463 0.750
0.875 0.787 0.750
0.500 0.500 0.000
0.250 0.750 0.500
0.000 0.000 0.000
0.750 0.250 0.500
```